1.
The following is a SCAN calculation of a PBEsol-optimized structure of TcSb2Au, from Alexandria via LeMat-Bulk.

The structure in POSCAR format:
```
TcSb2Au
1.0
-0.2668 -2.1437 2.5444
2.1102 -2.5747 0.2413
5.7116 3.0171 5.3301
Au Sb Tc
1 2 1
direct
0.0000 0.0000 0.0000
0.2441 0.2441 0.2677
0.7559 0.7559 0.7323
0.5000 0.5000 0.5000
```

Results
Energy relative to the elements, uncorrected: 9.9 kJ per mole of atoms
Symmetry: No. 166

2.
The following is a SCAN calculation of a PBEsol-optimized structure of TaTlMo2, from Alexandria via LeMat-Bulk.

The structure in POSCAR format:
```
TaTlMo2
1.0
2.8932 0.0100 0.0000
-1.0719 2.6873 0.0000
0.0000 0.0000 9.0385
Mo Ta Tl
2 1 1
direct
0.0000 0.0000 0.2657
0.0000 0.0000 0.7343
0.5000 0.5000 0.5000
0.5000 0.5000 0.0000
```

Results
Energy of formation: 0.332 eV per atom
Symmetry: No. 65

no.,uncorrected energy (Ry per atom),distance to the lowest polymorph of the same formula (eV per formula unit)
1,-3.2767,0.00
2,-3.8106,0.06